[1]
# Ge2PtAu PBE-GGA relaxed
# Fermi-level density of states = 8.5 states/eV per cell
# M_tot = 0.0000 μB per atom
# Density = 12.67 g/cm³
# Crystal system = cubic
# DFT formation energy = 0.02 eV per atom
data_Ge2PtAu
_symmetry_space_group_name_H-M 'F m -3 m'
_symmetry_Int_Tables_number 225
_symmetry_space_group_name_Hall '-F 4 2 3'
_cell_length_a 6.556
_cell_length_b 6.556
_cell_length_c 6.556
_cell_angle_alpha 90.00
_cell_angle_beta 90.00
_cell_angle_gamma 90.00
loop_
_atom_site_label
_atom_site_type_symbol
_atom_site_fract_x
_atom_site_fract_y
_atom_site_fract_z
Ge1 Ge 0.250 0.250 0.250
Pt1 Pt 0.000 0.000 0.000
Au1 Au 0.000 0.000 0.500

***

[2]
# GePtAu2 PBE-GGA relaxed
# Fermi-level density of states = 3.3 states/eV per cell
# M_tot = 0.0000 μB per atom
# Density = 15.04 g/cm³
# Crystal system = trigonal
# DFT formation energy = 0.19 eV per atom
data_GePtAu2
_symmetry_space_group_name_H-M 'R -3 m'
_symmetry_Int_Tables_number 166
_symmetry_space_group_name_Hall '-R 3 2"'
_cell_length_a 2.8170
_cell_length_b 2.8170
_cell_length_c 31.8893
_cell_angle_alpha 90.00
_cell_angle_beta 90.00
_cell_angle_gamma 120.00
loop_
_atom_site_label
_atom_site_type_symbol
_atom_site_fract_x
_atom_site_fract_y
_atom_site_fract_z
Ge1 Ge 0.0000 0.0000 0.0000
Pt1 Pt 0.0000 0.0000 0.5000
Au1 Au 0.0000 0.0000 0.4138